# HfAgPtBr2, relaxed, DFT PBEsol
# Total energy, eV per atom: -4.785
data_HfAgPtBr2
_chemical_formula_sum 'Hf1 Ag1 Pt1 Br2'
_symmetry_space_group_name_H-M 'P 1'
_symmetry_Int_Tables_number 1
_cell_length_a 5.0591
_cell_length_b 5.0880
_cell_length_c 5.0880
_cell_angle_alpha 90.00
_cell_angle_beta 90.00
_cell_angle_gamma 90.00
loop_
_symmetry_equiv_pos_as_xyz
'x,y,z'
loop_
_atom_site_label
_atom_site_type_symbol
_atom_site_fract_x
_atom_site_fract_y
_atom_site_fract_z
Br1 Br 0.0000 0.0000 0.5000
Br2 Br 0.0000 0.5000 0.0000
Hf1 Hf 0.0000 0.0000 0.0000
Ag1 Ag 0.5000 0.5000 0.5000
Pt1 Pt 0.5000 0.0000 0.0000